Record 1
# RbIn3P | the Alexandria database | GGA-PBE | relaxed
# VASP energy (eV per atom): -2.697
# E above lowest polymorph (meV per atom): 0
# Calculated formation energy (meV/atom): 221
data_RbIn3P
_chemical_formula_sum 'Rb1 In3 P1'
_space_group_name_H-M_alt 'P m -3 m'
_space_group_IT_number 221
_space_group_name_Hall '-P 4 2 3'
_cell_length_a 5.4728
_cell_length_b 5.4728
_cell_length_c 5.4728
_cell_angle_alpha 90.00
_cell_angle_beta 90.00
_cell_angle_gamma 90.00
loop_
_atom_site_label
_atom_site_fract_x
_atom_site_fract_y
_atom_site_fract_z
Rb1 0.0000 0.0000 0.0000
In1 0.0000 0.5000 0.5000
P1 0.5000 0.5000 0.5000

Record 2
# Rb2In2P | the Alexandria database | GGA-PBE | relaxed
# VASP energy (eV per atom): -2.540
# E above lowest polymorph (meV per atom): 133
# Calculated formation energy (meV/atom): 24
data_Rb2In2P
_chemical_formula_sum 'Rb4 In4 P2'
_space_group_name_H-M_alt 'P 4/m b m'
_space_group_IT_number 127
_space_group_name_Hall '-P 4 2ab'
_cell_length_a 7.4746
_cell_length_b 7.4746
_cell_length_c 6.1459
_cell_angle_alpha 90.00
_cell_angle_beta 90.00
_cell_angle_gamma 90.00
loop_
_atom_site_label
_atom_site_fract_x
_atom_site_fract_y
_atom_site_fract_z
Rb1 0.1881 0.3119 0.0000
In1 0.1384 0.6384 0.5000
P1 0.0000 0.0000 0.5000

Record 3
# RbIn3P | the Alexandria database | GGA-PBE | relaxed
# VASP energy (eV per atom): -1.572
# E above lowest polymorph (meV per atom): 1125
# Calculated formation energy (meV/atom): 1347
data_RbIn3P
_chemical_formula_sum 'Rb1 In3 P1'
_space_group_name_H-M_alt 'P m -3 m'
_space_group_IT_number 221
_space_group_name_Hall '-P 4 2 3'
_cell_length_a 6.2266
_cell_length_b 6.2266
_cell_length_c 6.2266
_cell_angle_alpha 90.00
_cell_angle_beta 90.00
_cell_angle_gamma 90.00
loop_
_atom_site_label
_atom_site_fract_x
_atom_site_fract_y
_atom_site_fract_z
Rb1 0.0000 0.0000 0.0000
In1 0.0000 0.0000 0.5000
P1 0.5000 0.5000 0.5000

Record 4
# Rb2InP2 | the Alexandria database | GGA-PBE | relaxed
# VASP energy (eV per atom): -3.049
# E above lowest polymorph (meV per atom): 327
# Calculated formation energy (meV/atom): 50
data_Rb2InP2
_chemical_formula_sum 'Rb4 In2 P4'
_space_group_name_H-M_alt 'I 4/m m m'
_space_group_IT_number 139
_space_group_name_Hall '-I 4 2'
_cell_length_a 5.1647
_cell_length_b 5.1647
_cell_length_c 13.0868
_cell_angle_alpha 90.00
_cell_angle_beta 90.00
_cell_angle_gamma 90.00
loop_
_atom_site_label
_atom_site_fract_x
_atom_site_fract_y
_atom_site_fract_z
Rb1 0.0000 0.5000 0.2500
In1 0.0000 0.0000 0.0000
P1 0.0000 0.0000 0.4207

Record 5
# RbInPRh | the Alexandria database | GGA-PBE | relaxed
# VASP energy (eV per atom): -4.556
# Calculated formation energy (meV/atom): -439
data_RbInPRh
_chemical_formula_sum 'Rb2 In2 P2 Rh2'
_space_group_name_H-M_alt 'P 4/n m m'
_space_group_IT_number 129
_cell_length_a 4.0707
_cell_length_b 4.0707
_cell_length_c 13.4251
_cell_angle_alpha 90.00
_cell_angle_beta 90.00
_cell_angle_gamma 90.00
loop_
_space_group_symop_operation_xyz
'x,y,z'
'-x,-y,-z'
'-y+1/2,x,z'
'y+1/2,-x,-z'
'-x+1/2,-y+1/2,z'
'x+1/2,y+1/2,-z'
'y,-x+1/2,z'
'-y,x+1/2,-z'
'x+1/2,-y,-z'
'-x+1/2,y,z'
'-y,-x,-z'
'y,x,z'
'-x,y+1/2,-z'
'x,-y+1/2,z'
'y+1/2,x+1/2,-z'
'-y+1/2,-x+1/2,z'
loop_
_atom_site_label
_atom_site_fract_x
_atom_site_fract_y
_atom_site_fract_z
Rb1 0.2500 0.2500 0.2395
In1 0.2500 0.7500 0.5000
P1 0.2500 0.2500 0.9096
Rh1 0.2500 0.7500 0.0000

Record 6
# RbInP2S8 | the Alexandria database | GGA-PBE | relaxed
# Formation energy (no corrections) (meV per atom): -276.8
# VASP energy (eV per atom): -4.239
data_RbInP2S8
_chemical_formula_sum 'Rb3 In3 P6 S24'
_space_group_name_H-M_alt 'R -3'
_space_group_IT_number 148
_space_group_name_Hall '-R 3'
_cell_length_a 6.1067
_cell_length_b 6.1067
_cell_length_c 28.5257
_cell_angle_alpha 90.00
_cell_angle_beta 90.00
_cell_angle_gamma 120.00
loop_
_atom_site_label
_atom_site_fract_x
_atom_site_fract_y
_atom_site_fract_z
Rb1 0.0000 0.0000 0.0000
In1 0.0000 0.0000 0.5000
P1 0.0000 0.0000 0.2414
S1 0.0000 0.0000 0.3123
S2 0.0031 0.3616 0.5541

Record 7
# RbIn3P4S12 | the Alexandria database | GGA-PBE | relaxed
# Formation energy (no corrections) (meV per atom): -268.8
# VASP energy (eV per atom): -4.286
data_RbIn3P4S12
_chemical_formula_sum 'Rb3 In9 P12 S36'
_space_group_name_H-M_alt 'R 3 2'
_space_group_IT_number 155
_space_group_name_Hall 'R 3 2"'
_cell_length_a 13.7403
_cell_length_b 13.7403
_cell_length_c 12.7178
_cell_angle_alpha 90.00
_cell_angle_beta 90.00
_cell_angle_gamma 120.00
loop_
_atom_site_label
_atom_site_fract_x
_atom_site_fract_y
_atom_site_fract_z
Rb1 0.0000 0.0000 0.0000
In1 0.0000 0.5226 0.0000
P1 0.0000 0.0000 0.5000
P2 0.0000 0.4584 0.5000
S1 0.0000 0.6012 0.5000
S2 0.0000 0.8571 0.5000
S3 0.0184 0.2099 0.1578

Record 8
# RbInP2Se8 | the Alexandria database | GGA-PBE | relaxed
# Formation energy (no corrections) (meV per atom): -207.0
# VASP energy (eV per atom): -3.741
data_RbInP2Se8
_chemical_formula_sum 'Rb3 In3 P6 Se24'
_space_group_name_H-M_alt 'R -3'
_space_group_IT_number 148
_space_group_name_Hall '-R 3'
_cell_length_a 6.0339
_cell_length_b 6.0339
_cell_length_c 34.9400
_cell_angle_alpha 90.00
_cell_angle_beta 90.00
_cell_angle_gamma 120.00
loop_
_atom_site_label
_atom_site_fract_x
_atom_site_fract_y
_atom_site_fract_z
Rb1 0.0000 0.0000 0.0000
In1 0.0000 0.0000 0.5000
P1 0.0000 0.0000 0.2413
Se1 0.0000 0.0000 0.3028
Se2 0.0012 0.7128 0.1146